Record 1
! AlAgRh2 | the Alexandria database | PBEsol | optimized geometry; values from VASP
&SYSTEM
  ibrav = 0, nat = 4, ntyp = 3
/
ATOMIC_SPECIES
Rh 102.91 Rh.upf
Al 26.98 Al.upf
Ag 107.87 Ag.upf
CELL_PARAMETERS angstrom
-2.561 -0.916 -1.074
1.187 -0.194 -2.666
1.727 -6.267 1.224
ATOMIC_POSITIONS crystal
Rh 0.000 0.000 0.282
Al 0.500 0.500 0.500
Rh 0.000 0.000 0.718
Ag 0.500 0.500 0.000
! * symmetry: P4/mmm (123)
! * energy of formation: -0.39 eV per atom


Record 2
! AlAgRh2 | the Alexandria database | PBEsol | optimized geometry; values from VASP
&SYSTEM
  ibrav = 0, nat = 4, ntyp = 3
/
ATOMIC_SPECIES
Rh 102.91 Rh.upf
Ag 107.87 Ag.upf
Al 26.98 Al.upf
CELL_PARAMETERS angstrom
2.903 0.000 0.000
0.000 4.419 0.000
-1.452 -2.209 4.445
ATOMIC_POSITIONS crystal
Rh 0.742 0.242 0.484
Ag 0.513 0.513 0.027
Rh 0.986 0.986 0.971
Al 0.259 0.759 0.518
! * symmetry: Imm2 (44)
! * energy of formation: -0.22 eV per atom